{"formula": "ZrAlBr2", "functional": "PBE", "state": "optimized geometry", "space_group": "No. 10", "formation_energy_uncorrected_mev_per_atom": -268, "total_magnetization_mub_per_cell": 0.1, "polymorph_energy_mev_per_atom": 449.0, "lattice": [[4.765, 0.000, 0.000], [0.000, 3.470, -0.010], [0.000, -0.076, 5.627]], "species": ["Br", "Br", "Al", "Zr"], "frac_coords": [[0.000, 0.052, 0.006], [0.000, 0.448, 0.494], [0.500, 0.750, 0.750], [0.500, 0.250, 0.250]]}